[1]
Here is a relaxed Cd5Hg crystal from Alexandria via LeMat-Bulk. Energies are from PBEsol.

Values from the calculation:
For the total energy, the calculation gives -1.090 eV per atom. As for the space group: No. 38. The size of the total moment comes out at 0.0 μB per formula unit.

Cell lengths 5.6443, 2.9525, 15.2929 Å; angles 90.00, 90.00, 90.00 degrees
Last column: nearest neighbours and their distance in Å.
Sites, in units of the cell vectors:
1 Cd 0.0000 0.0000 0.0000  8 Cd 2.94-3.29
2 Cd 0.0000 0.0000 0.3329  6 Cd 2.94-2.95, 2 Hg 3.29
3 Cd 0.0000 0.0000 0.6664  8 Cd 2.94-3.29
4 Cd 0.0000 0.5000 0.1664  8 Cd 2.94-3.29
5 Cd 0.0000 0.5000 0.5000  8 Cd 2.94-3.29
6 Cd 0.0000 0.5000 0.8329  6 Cd 2.94-2.95, 2 Hg 3.29
7 Cd 0.5000 0.0000 0.5554  4 Cd 2.93-2.95, 2 Hg 2.95
8 Cd 0.5000 0.0000 0.8896  4 Cd 2.93-2.95, 2 Hg 2.95
9 Cd 0.5000 0.5000 0.0554  4 Cd 2.93-2.95, 2 Hg 2.95
10 Cd 0.5000 0.5000 0.3896  4 Cd 2.93-2.95, 2 Hg 2.95
11 Hg 0.5000 0.0000 0.2228  10 Cd 2.95-3.30, 2 Hg 2.95
12 Hg 0.5000 0.5000 0.7228  10 Cd 2.95-3.30, 2 Hg 2.95

[2]
Here is a relaxed Cd5Hg crystal from Alexandria via LeMat-Bulk. Energies are from PBEsol.

Values from the calculation:
For the total energy, the calculation gives -1.096 eV per atom. As for the space group: No. 189. The size of the total moment comes out at 0.0 μB per formula unit.

Cell lengths 5.1124, 5.1124, 5.6033 Å; angles 90.00, 90.00, 120.00 degrees
Last column: nearest neighbours and their distance in Å.
Sites, in units of the cell vectors:
1 Cd 0.0000 0.6661 0.0000  10 Cd 2.95-3.28, 2 Hg 3.28
2 Cd 0.3333 0.6667 0.5000  3 Hg 2.95, 9 Cd 2.95-3.28
3 Cd 0.3339 0.3339 0.0000  10 Cd 2.95-3.28, 2 Hg 3.28
4 Cd 0.6661 0.0000 0.0000  10 Cd 2.95-3.28, 2 Hg 3.28
5 Cd 0.6667 0.3333 0.5000  3 Hg 2.95, 9 Cd 2.95-3.28
6 Hg 0.0000 0.0000 0.5000  12 Cd 2.95-3.28

[3]
Here is a relaxed Cd2Hg crystal from Alexandria via LeMat-Bulk. Energies are from PBEsol.

Values from the calculation:
For the total energy, the calculation gives -0.908 eV per atom. As for the space group: No. 191. The size of the total moment comes out at 0.0 μB per formula unit.

Cell lengths 4.9468, 4.9468, 3.1586 Å; angles 90.00, 90.00, 120.00 degrees
Last column: nearest neighbours and their distance in Å.
Sites, in units of the cell vectors:
1 Cd 0.3333 0.6667 0.0000  5 Cd 2.86-3.16
2 Cd 0.6667 0.3333 0.0000  5 Cd 2.86-3.16
3 Hg 0.0000 0.0000 0.5000  2 Hg 3.16, 12 Cd 3.26

[4]
Here is a relaxed CdHg22 crystal from Alexandria via LeMat-Bulk. Energies are from PBEsol.

Values from the calculation:
For the total energy, the calculation gives -0.544 eV per atom. As for the space group: No. 227. The size of the total moment comes out at 0.0 μB per formula unit.

Cell lengths 11.7019, 11.7019, 11.7019 Å; angles 60.00, 60.00, 60.00 degrees
Last column: nearest neighbours and their distance in Å.
Sites, in units of the cell vectors:
1 Cd 0.1250 0.1250 0.1250  16 Hg 3.49-3.58
2 Cd 0.8750 0.8750 0.8750  16 Hg 3.49-3.58
3 Hg 0.0000 0.0000 0.0000  12 Hg 3.45, 2 Cd 3.58
4 Hg 0.0000 0.0000 0.5000  12 Hg 3.45, 2 Cd 3.58
5 Hg 0.0000 0.5000 0.0000  12 Hg 3.45, 2 Cd 3.58
6 Hg 0.0000 0.5000 0.5000  6 Hg 2.94
7 Hg 0.0593 0.3162 0.3162  4 Hg 2.94-3.11
8 Hg 0.0593 0.3162 0.8083  4 Hg 2.94-3.11
9 Hg 0.0593 0.8083 0.3162  4 Hg 2.94-3.11
10 Hg 0.1917 0.6838 0.6838  4 Hg 2.94-3.11
11 Hg 0.1917 0.6838 0.9407  4 Hg 2.94-3.11
12 Hg 0.1917 0.9407 0.6838  4 Hg 2.94-3.11
13 Hg 0.2321 0.2321 0.5179  4 Hg 2.94-3.11
14 Hg 0.2321 0.5179 0.2321  4 Hg 2.94-3.11
15 Hg 0.2321 0.5179 0.5179  4 Hg 2.94-3.11
16 Hg 0.3162 0.0593 0.3162  4 Hg 2.94-3.11
17 Hg 0.3162 0.0593 0.8083  4 Hg 2.94-3.11
18 Hg 0.3162 0.3162 0.0593  4 Hg 2.94-3.11
19 Hg 0.3162 0.3162 0.8083  4 Hg 2.94-3.11
20 Hg 0.3162 0.8083 0.0593  4 Hg 2.94-3.11
21 Hg 0.3162 0.8083 0.3162  4 Hg 2.94-3.11
22 Hg 0.4821 0.4821 0.7679  4 Hg 2.94-3.11
23 Hg 0.4821 0.7679 0.4821  4 Hg 2.94-3.11
24 Hg 0.4821 0.7679 0.7679  4 Hg 2.94-3.11
25 Hg 0.5000 0.0000 0.0000  12 Hg 3.45, 2 Cd 3.58
26 Hg 0.5000 0.0000 0.5000  6 Hg 2.94
27 Hg 0.5000 0.5000 0.0000  6 Hg 2.94
28 Hg 0.5000 0.5000 0.5000  6 Hg 2.94
29 Hg 0.5179 0.2321 0.2321  4 Hg 2.94-3.11
30 Hg 0.5179 0.2321 0.5179  4 Hg 2.94-3.11
31 Hg 0.5179 0.5179 0.2321  4 Hg 2.94-3.11
32 Hg 0.6838 0.1917 0.6838  4 Hg 2.94-3.11
33 Hg 0.6838 0.1917 0.9407  4 Hg 2.94-3.11
34 Hg 0.6838 0.6838 0.1917  4 Hg 2.94-3.11
35 Hg 0.6838 0.6838 0.9407  4 Hg 2.94-3.11
36 Hg 0.6838 0.9407 0.1917  4 Hg 2.94-3.11
37 Hg 0.6838 0.9407 0.6838  4 Hg 2.94-3.11
38 Hg 0.7679 0.4821 0.4821  4 Hg 2.94-3.11
39 Hg 0.7679 0.4821 0.7679  4 Hg 2.94-3.11
40 Hg 0.7679 0.7679 0.4821  4 Hg 2.94-3.11
41 Hg 0.8083 0.0593 0.3162  4 Hg 2.94-3.11
42 Hg 0.8083 0.3162 0.0593  4 Hg 2.94-3.11
43 Hg 0.8083 0.3162 0.3162  4 Hg 2.94-3.11
44 Hg 0.9407 0.1917 0.6838  4 Hg 2.94-3.11
45 Hg 0.9407 0.6838 0.1917  4 Hg 2.94-3.11
46 Hg 0.9407 0.6838 0.6838  4 Hg 2.94-3.11

[5]
Here is a relaxed CdHg3 crystal from Alexandria via LeMat-Bulk. Energies are from PBEsol.

Values from the calculation:
For the total energy, the calculation gives -0.715 eV per atom. As for the space group: No. 47. The size of the total moment comes out at 0.0 μB per formula unit.

Cell lengths 3.0650, 4.2738, 6.8329 Å; angles 90.00, 90.00, 90.00 degrees
Last column: nearest neighbours and their distance in Å.
Sites, in units of the cell vectors:
1 Cd 0.0000 0.0000 0.0000  2 Cd 3.07, 10 Hg 3.11-3.42
2 Hg 0.0000 0.0000 0.5000  10 Hg 3.07-3.16, 2 Cd 3.42
3 Hg 0.5000 0.5000 0.2431  7 Hg 3.07-3.32, 4 Cd 3.11
4 Hg 0.5000 0.5000 0.7569  7 Hg 3.07-3.32, 4 Cd 3.11

[6]
Here is a relaxed CdHg3 crystal from Alexandria via LeMat-Bulk. Energies are from PBEsol.

Values from the calculation:
For the total energy, the calculation gives -0.727 eV per atom. As for the space group: No. 12. The size of the total moment comes out at 0.0 μB per formula unit.

Cell lengths 9.4266, 3.3813, 5.7932 Å; angles 90.00, 102.62, 90.00 degrees
Last column: nearest neighbours and their distance in Å.
Sites, in units of the cell vectors:
1 Cd 0.0000 0.0000 0.0000  6 Hg 2.98-3.02
2 Cd 0.5000 0.5000 0.0000  6 Hg 2.98-3.02
3 Hg 0.0000 0.5000 0.5000  8 Hg 3.03-3.38, 4 Cd 3.35
4 Hg 0.2480 0.5000 0.2436  3 Cd 2.98-3.02, 5 Hg 3.03-3.30
5 Hg 0.2520 0.0000 0.7564  3 Cd 2.98-3.02, 5 Hg 3.03-3.30
6 Hg 0.5000 0.0000 0.5000  8 Hg 3.03-3.38, 4 Cd 3.35
7 Hg 0.7480 0.0000 0.2436  3 Cd 2.98-3.02, 5 Hg 3.03-3.30
8 Hg 0.7520 0.5000 0.7564  3 Cd 2.98-3.02, 5 Hg 3.03-3.30